An optimized crystal structure of Dy5B2Te, computed with GGA-PBE.

Cell: 7.126 7.126 14.228 Å, 90.00 90.00 90.00°
Space group I4/mcm (No. 140)
Symmetry-distinct sites (fractional):
Dy 0.000 0.000 0.000 [4 per cell]
Dy 0.164 0.336 0.132 [16 per cell]
B 0.092 0.408 0.500 [8 per cell]
Te 0.000 0.000 0.250 [4 per cell]

Calculated values
Raw total energy = -168.61 eV per cell
Formation energy without anion corrections = -0.33 eV/atom
Calculated volume = 22.58 Å³/atom
ρ = 8.842 g/cm³
M_tot = 0.00 μB/atom

***

An optimized crystal structure of DyThB4, computed with GGA-PBE.

Cell: 6.269 12.314 4.067 Å, 90.00 90.00 90.00°
Space group Pbam (No. 55)
Symmetry-distinct sites (fractional):
Dy 0.140 0.087 0.000 [4 per cell]
Th 0.129 0.345 0.000 [4 per cell]
B 0.033 0.807 0.500 [4 per cell]
B 0.119 0.951 0.500 [4 per cell]
B 0.128 0.525 0.500 [4 per cell]
B 0.209 0.691 0.500 [4 per cell]

Calculated values
Raw total energy = -162.67 eV per cell
Calculated volume = 13.08 Å³/atom
ρ = 9.261 g/cm³
M_tot = 0.00 μB/atom
Calculated formation energy = -323 meV/atom

***

An optimized crystal structure of DyThB12, computed with GGA-PBE.

Cell: 4.103 4.103 8.211 Å, 90.00 90.00 90.00°
Space group P4/mmm (No. 123)
Symmetry-distinct sites (fractional):
Dy 0.000 0.000 0.000 [1 per cell]
Th 0.000 0.000 0.500 [1 per cell]
B 0.198 0.500 0.249 [8 per cell]
B 0.500 0.500 0.099 [2 per cell]
B 0.500 0.500 0.401 [2 per cell]

Calculated values
Raw total energy = -98.29 eV per cell
Calculated volume = 9.87 Å³/atom
ρ = 6.299 g/cm³
M_tot = 0.00 μB/atom
Calculated formation energy = -438 meV/atom

***

An optimized crystal structure of Dy2ThB6, computed with GGA-PBE.

Cell: 5.7207 5.7207 3.9894 Å, 90.00 90.00 120.00°
Space group P6/mmm (No. 191)
Symmetry-distinct sites (fractional):
Dy 0.3333 0.6667 0.0000 [2 per cell]
Th 0.0000 0.0000 0.0000 [1 per cell]
B 0.0000 0.3390 0.5000 [6 per cell]

Calculated values
Raw total energy = -61.25 eV per cell
Calculated volume = 12.56 Å³/atom
ρ = 9.133 g/cm³
M_tot = 0.00 μB/atom
Calculated formation energy = -507 meV/atom

***

An optimized crystal structure of DyTiB4, computed with GGA-PBE.

Cell: 6.066 11.741 3.569 Å, 90.00 90.00 90.00°
Space group Pbam (No. 55)
Symmetry-distinct sites (fractional):
Dy 0.126 0.152 0.000 [4 per cell]
Ti 0.132 0.414 0.000 [4 per cell]
B 0.021 0.694 0.500 [4 per cell]
B 0.114 0.547 0.500 [4 per cell]
B 0.132 0.968 0.500 [4 per cell]
B 0.206 0.814 0.500 [4 per cell]

Calculated values
Raw total energy = -173.60 eV per cell
Calculated volume = 10.59 Å³/atom
ρ = 6.626 g/cm³
M_tot = 0.00 μB/atom
Calculated formation energy = -699 meV/atom

***

An optimized crystal structure of DyTm3B, computed with GGA-PBE.

Cell: 5.089 5.089 5.089 Å, 90.00 90.00 90.00°
Space group Pm-3m (No. 221)
Symmetry-distinct sites (fractional):
Dy 0.000 0.000 0.000 [1 per cell]
Tm 0.000 0.500 0.500 [3 per cell]
B 0.500 0.500 0.500 [1 per cell]

Calculated values
Raw total energy = -24.46 eV per cell
Calculated volume = 26.35 Å³/atom
ρ = 8.571 g/cm³
M_tot = 0.00 μB/atom
Calculated formation energy = 46 meV/atom

***

An optimized crystal structure of DyTmB4, computed with GGA-PBE.

Cell: 3.540 3.540 11.479 Å, 90.00 90.00 90.00°
Space group I-4m2 (No. 119)
Symmetry-distinct sites (fractional):
Dy 0.000 0.000 0.000 [2 per cell]
Tm 0.000 0.500 0.750 [2 per cell]
B 0.000 0.000 0.420 [4 per cell]
B 0.000 0.500 0.172 [4 per cell]

Calculated values
Raw total energy = -77.06 eV per cell
Calculated volume = 11.98 Å³/atom
ρ = 8.652 g/cm³
M_tot = 0.00 μB/atom
Calculated formation energy = -458 meV/atom

***

An optimized crystal structure of DyTm2B6, computed with GGA-PBE.

Cell: 5.6584 5.6584 3.8163 Å, 90.00 90.00 120.00°
Space group P6/mmm (No. 191)
Symmetry-distinct sites (fractional):
Dy 0.0000 0.0000 0.0000 [1 per cell]
Tm 0.3333 0.6667 0.0000 [2 per cell]
B 0.0000 0.3350 0.5000 [6 per cell]

Calculated values
Raw total energy = -59.23 eV per cell
Calculated volume = 11.76 Å³/atom
ρ = 8.870 g/cm³
M_tot = 0.00 μB/atom
Calculated formation energy = -624 meV/atom

***

An optimized crystal structure of DyUB4, computed with GGA-PBE.

Cell: 6.119 11.990 4.030 Å, 90.00 90.00 90.00°
Space group Pbam (No. 55)
Symmetry-distinct sites (fractional):
Dy 0.125 0.158 0.000 [4 per cell]
U 0.126 0.422 0.000 [4 per cell]
B 0.013 0.695 0.500 [4 per cell]
B 0.122 0.552 0.500 [4 per cell]
B 0.128 0.968 0.500 [4 per cell]
B 0.199 0.812 0.500 [4 per cell]

Calculated values
Raw total energy = -176.15 eV per cell
Calculated volume = 12.32 Å³/atom
ρ = 9.970 g/cm³
M_tot = 0.00 μB/atom
Calculated formation energy = -239 meV/atom

***

An optimized crystal structure of DyUB, computed with GGA-PBE.

Cell: 3.196 4.890 15.136 Å, 90.00 90.00 90.00°
Space group Immm (No. 71)
Symmetry-distinct sites (fractional):
Dy 0.000 0.000 0.181 [4 per cell]
U 0.000 0.251 0.500 [4 per cell]
B 0.000 0.000 0.355 [4 per cell]

Calculated values
Raw total energy = -84.44 eV per cell
Calculated volume = 19.72 Å³/atom
ρ = 11.549 g/cm³
M_tot = 0.12 μB/atom
Calculated formation energy = 486 meV/atom

***

An optimized crystal structure of DyVB4, computed with GGA-PBE.

Cell: 6.003 11.622 3.449 Å, 90.00 90.00 90.00°
Space group Pbam (No. 55)
Symmetry-distinct sites (fractional):
Dy 0.124 0.152 0.000 [4 per cell]
V 0.127 0.417 0.000 [4 per cell]
B 0.023 0.692 0.500 [4 per cell]
B 0.115 0.547 0.500 [4 per cell]
B 0.136 0.967 0.500 [4 per cell]
B 0.214 0.814 0.500 [4 per cell]

Calculated values
Raw total energy = -178.82 eV per cell
Calculated volume = 10.02 Å³/atom
ρ = 7.086 g/cm³
M_tot = 0.00 μB/atom
Calculated formation energy = -712 meV/atom

***

An optimized crystal structure of DyV2B6, computed with GGA-PBE.

Cell: 5.3479 5.3479 3.3526 Å, 90.00 90.00 120.00°
Space group P6/mmm (No. 191)
Symmetry-distinct sites (fractional):
Dy 0.0000 0.0000 0.0000 [1 per cell]
V 0.3333 0.6667 0.0000 [2 per cell]
B 0.0000 0.3424 0.5000 [6 per cell]

Calculated values
Raw total energy = -68.03 eV per cell
Calculated volume = 9.23 Å³/atom
ρ = 6.584 g/cm³
M_tot = 0.00 μB/atom
Calculated formation energy = -570 meV/atom

***

An optimized crystal structure of Dy3VB7, computed with GGA-PBE.

Cell: 3.436 15.932 9.422 Å, 90.00 90.00 90.00°
Space group Cmcm (No. 63)
Symmetry-distinct sites (fractional):
Dy 0.000 0.106 0.060 [8 per cell]
Dy 0.000 0.243 0.750 [4 per cell]
V 0.000 0.053 0.750 [4 per cell]
B 0.000 0.273 0.032 [8 per cell]
B 0.000 0.368 0.149 [8 per cell]
B 0.000 0.459 0.750 [4 per cell]
B 0.000 0.479 0.095 [8 per cell]

Calculated values
Raw total energy = -305.85 eV per cell
Calculated volume = 11.72 Å³/atom
ρ = 7.908 g/cm³
M_tot = 0.00 μB/atom
Calculated formation energy = -618 meV/atom

***

An optimized crystal structure of DyB4W, computed with GGA-PBE.

Cell: 6.042 11.672 3.627 Å, 90.00 90.00 90.00°
Space group Pbam (No. 55)
Symmetry-distinct sites (fractional):
Dy 0.127 0.150 0.000 [4 per cell]
B 0.024 0.693 0.500 [4 per cell]
B 0.114 0.547 0.500 [4 per cell]
B 0.134 0.968 0.500 [4 per cell]
B 0.213 0.814 0.500 [4 per cell]
W 0.131 0.416 0.000 [4 per cell]

Calculated values
Raw total energy = -191.39 eV per cell
Calculated volume = 10.66 Å³/atom
ρ = 10.115 g/cm³
M_tot = 0.00 μB/atom
Calculated formation energy = -597 meV/atom

***

An optimized crystal structure of DyBW, computed with GGA-PBE.

Cell: 4.713 8.488 18.165 Å, 90.00 90.00 90.00°
Space group Fddd (No. 70, origin choice 2)
Symmetry-distinct sites (fractional):
Dy 0.125 0.290 0.125 [16 per cell]
B 0.125 0.125 0.001 [16 per cell]
W 0.125 0.125 0.538 [16 per cell]

Calculated values
Raw total energy = -383.00 eV per cell
Calculated volume = 15.14 Å³/atom
ρ = 13.057 g/cm³
M_tot = 0.00 μB/atom
Calculated formation energy = 98 meV/atom

***

An optimized crystal structure of DyB2W, computed with GGA-PBE.

Cell: 3.3621 3.3621 17.2057 Å, 90.00 90.00 120.00°
Space group R-3m (No. 166, hexagonal axes)
Symmetry-distinct sites (fractional):
Dy 0.0000 0.0000 0.0000 [3 per cell]
B 0.0000 0.0000 0.2344 [6 per cell]
W 0.0000 0.0000 0.5000 [3 per cell]

Calculated values
Raw total energy = -93.86 eV per cell
Calculated volume = 14.04 Å³/atom
ρ = 10.883 g/cm³
M_tot = 0.00 μB/atom
Calculated formation energy = -94 meV/atom

***

An optimized crystal structure of DyYB, computed with GGA-PBE.

Cell: 7.643 4.721 10.837 Å, 90.00 96.82 90.00°
Space group P2_1/m (No. 11)
Symmetry-distinct sites (fractional):
Dy 0.101 0.250 0.438 [2 per cell]
Dy 0.170 0.250 0.069 [2 per cell]
Dy 0.316 0.750 0.734 [2 per cell]
Y 0.009 0.250 0.782 [2 per cell]
Y 0.403 0.750 0.410 [2 per cell]
Y 0.478 0.750 0.110 [2 per cell]
B 0.180 0.750 0.951 [2 per cell]
B 0.272 0.250 0.647 [2 per cell]
B 0.344 0.250 0.289 [2 per cell]

Calculated values
Raw total energy = -105.91 eV per cell
Calculated volume = 21.57 Å³/atom
ρ = 6.729 g/cm³
M_tot = 0.00 μB/atom
Calculated formation energy = 31 meV/atom

***

An optimized crystal structure of Dy2YB6, computed with GGA-PBE.

Cell: 5.6983 5.6983 3.8819 Å, 90.00 90.00 120.00°
Space group P6/mmm (No. 191)
Symmetry-distinct sites (fractional):
Dy 0.3333 0.6667 0.0000 [2 per cell]
Y 0.0000 0.0000 0.0000 [1 per cell]
B 0.0000 0.3336 0.5000 [6 per cell]

Calculated values
Raw total energy = -60.83 eV per cell
Calculated volume = 12.13 Å³/atom
ρ = 7.283 g/cm³
M_tot = 0.00 μB/atom
Calculated formation energy = -567 meV/atom

***

An optimized crystal structure of DyYB4, computed with GGA-PBE.

Cell: 3.577 3.577 11.540 Å, 90.00 90.00 90.00°
Space group I-4m2 (No. 119)
Symmetry-distinct sites (fractional):
Dy 0.000 0.000 0.000 [2 per cell]
Y 0.000 0.500 0.750 [2 per cell]
B 0.000 0.000 0.422 [4 per cell]
B 0.000 0.500 0.172 [4 per cell]

Calculated values
Raw total energy = -80.48 eV per cell
Calculated volume = 12.30 Å³/atom
ρ = 6.627 g/cm³
M_tot = 0.00 μB/atom
Calculated formation energy = -410 meV/atom